1.
Material: YSe2IBr
Method: DFT, PBE-GGA
State: relaxed

```
5
Lattice="-2.058 -4.876 -1.660 0.950 -2.116 5.038 -4.942 1.547 1.582" Properties=species:S:1:pos:R:3 pbc="T T T"
I 0.000 0.000 0.000
Y -3.025 -2.722 2.480
Se 0.475 -1.058 2.519
Se -1.029 -2.438 -0.830
Br -2.471 0.774 0.791
```

Computed properties:
The uncorrected formation energy is 0.227 eV per atom. The uncorrected energy is -3.104 eV/atom.

---

2.
Material: ZnSeIBr2
Method: DFT, PBE-GGA
State: relaxed

```
5
Lattice="-2.706 -3.778 -3.434 3.493 1.465 -4.364 3.514 -3.887 1.507" Properties=species:S:1:pos:R:3 pbc="T T T"
I 0.000 0.000 0.000
Zn 2.150 -3.100 -3.146
Se 1.757 -1.943 0.753
Br 1.746 0.733 -2.182
Br -1.353 -1.889 -1.717
```

Computed properties:
The uncorrected formation energy is 0.441 eV per atom. The uncorrected energy is -1.489 eV/atom.

---

- uncorrected formation energy of number 1 (YSe2IBr)?
  0.227 eV per atom

---

- The highest uncorrected formation energy belongs to which entry?
  ZnSeIBr2

---

- Among the records above, which one has the lowest uncorrected formation energy?
  YSe2IBr

---

- What is the uncorrected energy in the first record?
  -3.104 eV/atom